Entry from the Alexandria database: KGdMo2O8 at its PBEsol-relaxed geometry (SCAN).

Geometry as POSCAR:
```
KGdMo2O8
1.0
-0.817 1.177 -5.032
-4.415 -4.687 2.346
-4.819 8.062 4.998
K O Gd Mo
2 16 2 4
direct
0.192 0.304 0.559 K
0.808 0.696 0.441 K
0.740 0.994 0.596 O
0.052 0.356 0.806 O
0.948 0.644 0.194 O
0.260 0.006 0.404 O
0.278 0.816 0.916 O
0.830 0.941 0.872 O
0.718 0.517 0.932 O
0.239 0.405 0.318 O
0.428 0.126 0.750 O
0.722 0.184 0.084 O
0.572 0.874 0.250 O
0.716 0.312 0.334 O
0.170 0.059 0.128 O
0.284 0.688 0.666 O
0.282 0.483 0.068 O
0.761 0.595 0.682 O
0.691 0.811 0.061 Gd
0.309 0.189 0.939 Gd
0.038 0.423 0.173 Mo
0.426 0.065 0.280 Mo
0.574 0.935 0.720 Mo
0.962 0.577 0.827 Mo
```

Summary:
- crystal system = triclinic
- spin magnetization (μB per formula unit) = 6.96
- energy relative to the elements, uncorrected (meV per atom) = -2626
- density of states at the Fermi level (states/eV/atom) = 0.000
- E_tot (eV/atom) = -18.19



Entry from the Alexandria database: Be4CoNi at its PBEsol-relaxed geometry (SCAN).

Geometry as POSCAR:
```
Be4CoNi
1.0
4.103 0.000 0.000
2.052 3.553 0.000
2.052 1.184 3.350
Co Ni Be
1 1 4
direct
0.750 0.750 0.750 Co
0.000 0.000 0.000 Ni
0.375 0.874 0.375 Be
0.375 0.375 0.874 Be
0.874 0.375 0.375 Be
0.375 0.375 0.375 Be
```

Summary:
- crystal system = cubic
- spin magnetization (μB per formula unit) = 1.00
- density of states at the Fermi level (states/eV/atom) = 0.483
- E_tot (eV/atom) = -8.74
- energy of formation from the pure elements (meV per atom) = -261



Entry from the Alexandria database: K3Tl at its PBEsol-relaxed geometry (SCAN).

Geometry as POSCAR:
```
K3Tl
1.0
4.377 0.000 0.000
0.000 4.377 0.000
0.000 0.000 10.424
Tl K
1 3
direct
0.500 0.500 0.000 Tl
0.000 0.000 0.811 K
0.000 0.000 0.189 K
0.500 0.500 0.500 K
```

Summary:
- crystal system = tetragonal
- spin magnetization (μB per formula unit) = 0.00
- density of states at the Fermi level (states/eV/atom) = 0.718
- E_tot (eV/atom) = -24.38
- energy of formation from the pure elements (meV per atom) = -46



Entry from the Alexandria database: TlIrSeBr2 at its PBEsol-relaxed geometry (SCAN).

Geometry as POSCAR:
```
TlIrSeBr2
1.0
-1.495 1.798 3.982
0.067 -4.840 2.211
5.034 0.774 1.541
Br Ir Tl Se
2 1 1 1
direct
0.000 0.000 0.500 Br
0.000 0.500 0.000 Br
0.000 0.000 0.000 Ir
0.500 0.500 0.500 Tl
0.500 0.000 0.000 Se
```

Summary:
- crystal system = tetragonal
- spin magnetization (μB per formula unit) = 0.00
- energy relative to the elements, uncorrected (meV per atom) = -96
- density of states at the Fermi level (states/eV/atom) = 0.378
- E_tot (eV/atom) = -40.59



Entry from the Alexandria database: ZrInAs2 at its PBEsol-relaxed geometry (SCAN).

Geometry as POSCAR:
```
ZrInAs2
1.0
3.794 0.000 0.000
1.897 3.286 0.000
1.897 1.095 7.006
As Zr In
2 1 1
direct
0.256 0.256 0.231 As
0.744 0.744 0.769 As
0.000 0.000 0.000 Zr
0.500 0.500 0.500 In
```

Summary:
- crystal system = trigonal
- spin magnetization (μB per formula unit) = 0.00
- density of states at the Fermi level (states/eV/atom) = 0.402
- E_tot (eV/atom) = -26.68
- energy of formation from the pure elements (meV per atom) = -560



Entry from the Alexandria database: RbIr3C at its PBEsol-relaxed geometry (SCAN).

Geometry as POSCAR:
```
RbIr3C
1.0
4.227 0.000 0.000
0.000 4.227 0.000
0.000 0.000 4.227
C Ir Rb
1 3 1
direct
0.000 0.000 0.000 C
0.500 0.000 0.000 Ir
0.000 0.000 0.500 Ir
0.000 0.500 0.000 Ir
0.500 0.500 0.500 Rb
```

Summary:
- crystal system = cubic
- spin magnetization (μB per formula unit) = 0.00
- density of states at the Fermi level (states/eV/atom) = 0.450
- E_tot (eV/atom) = -47.67
- energy of formation from the pure elements (meV per atom) = 1162